1.
First-principles (PBE) data for a relaxed structure of La6Tl5Ag, as listed in Alexandria.

Calculated values
E_form (eV/atom): -0.388
ρ (g/cm³): 8.726
Raw total energy (eV/atom): -4.075

abc: 5.609 7.906 8.887
angles: 90.00 71.42 90.00
Element x y z (fractional)
La: 0.836 0.246 0.328
La: 0.500 0.244 0.000
La: 0.164 0.246 0.672
La: 0.164 0.754 0.672
Tl: 0.667 0.500 0.665
Ag: 0.000 0.000 0.000
Tl: 0.333 0.500 0.335
La: 0.836 0.754 0.328
La: 0.500 0.756 0.000
Tl: 0.335 0.000 0.329
Tl: 0.000 0.500 0.000
Tl: 0.665 0.000 0.671


2.
First-principles (PBE) data for a relaxed structure of LaTlAg2, as listed in Alexandria.

Calculated values
E_form (eV/atom): -0.131
ρ (g/cm³): 8.885
Raw total energy (eV/atom): -3.380

abc: 4.963 3.519 5.983
angles: 90.01 90.00 90.00
Element x y z (fractional)
La: 0.500 0.250 0.250
Tl: 0.500 0.750 0.750
Ag: 0.000 0.750 0.010
Ag: 0.000 0.750 0.490